A relaxed structure of Li5Co2O2F5, computed with PBE+U.

Space group: I4/mmm, No. 139
Fermi-level density of states in states/eV/atom: 0.124
E_tot in Ry per atom: -0.3739

```
Li5Co2O2F5
1.0
14.607 -0.004 0.000
14.012 4.124 0.000
-14.309 -2.060 2.085
F Co Li O
5 2 5 2
direct
0.000 0.000 0.000
0.139 0.139 0.000
0.570 0.570 0.000
0.861 0.861 0.000
0.430 0.430 0.000
0.219 0.219 0.000
0.781 0.781 0.000
0.360 0.360 0.000
0.069 0.069 0.000
0.640 0.640 0.000
0.931 0.931 0.000
0.500 0.500 0.000
0.289 0.289 0.000
0.711 0.711 0.000
```